# 1
# Pm2BO5

Pm2BO5 after structural relaxation (PBE, Alexandria via LeMat-Bulk).

Summary:
For the polymorph energy (0 for the lowest one), the calculation gives 96 meV/atom. As for the raw total energy: -0.291 Ha/atom. The magnetization comes out at 2.1 μB/cell. Its symmetry is Cmcm (63). The density of states at the Fermi level comes out at 4.03 states/eV/f.u. For the uncorrected formation energy, the calculation gives -2.7877 eV per atom.

a = 4.356 Å, b = 7.187 Å, c = 10.475 Å
α = 90.00°, β = 90.00°, γ = 107.64°
Each line ends with the local moment (μB).
Element x y z (fractional)
1 Pm 0.143 0.285 0.527  0.01
2 B 0.981 0.962 0.250  -0.01
3 O 0.974 0.948 0.867  0.11
4 O 0.689 0.379 0.503  0.30
5 O 0.974 0.948 0.633  0.11
6 O 0.026 0.052 0.367  0.11
7 B 0.019 0.038 0.750  -0.01
8 Pm 0.143 0.285 0.973  0.01
9 O 0.689 0.379 0.997  0.30
10 Pm 0.857 0.715 0.473  0.01
11 O 0.121 0.242 0.750  0.06
12 O 0.311 0.621 0.003  0.30
13 O 0.026 0.052 0.133  0.11
14 Pm 0.857 0.715 0.027  0.01
15 O 0.311 0.621 0.497  0.30
16 O 0.879 0.758 0.250  0.06

# 2
# Th2Co5Si4

Th2Co5Si4 after structural relaxation (PBE, Alexandria via LeMat-Bulk).

Summary:
As for the raw total energy: -0.266 Ha/atom. The magnetization comes out at 0.0 μB/cell. Its symmetry is Fmmm (69). The density of states at the Fermi level comes out at 7.11 states/eV/f.u. For the uncorrected formation energy, the calculation gives -0.6740 eV per atom.

a = 5.394 Å, b = 5.393 Å, c = 7.175 Å
α = 79.17°, β = 67.92°, γ = 60.00°
Element x y z (fractional)
1 Si 0.525 0.689 0.261
2 Si 0.214 0.311 0.261
3 Si 0.786 0.689 0.739
4 Co 0.750 0.500 0.500
5 Th 0.137 0.000 0.726
6 Co 0.500 0.500 0.000
7 Si 0.475 0.311 0.739
8 Co 0.000 0.500 0.000
9 Co 0.500 0.000 0.000
10 Co 0.250 0.500 0.500
11 Th 0.863 0.000 0.274

# 3
# BaLa3Pt

BaLa3Pt after structural relaxation (PBE, Alexandria via LeMat-Bulk).

Summary:
For the polymorph energy (0 for the lowest one), the calculation gives 1406 meV/atom. As for the raw total energy: -0.131 Ha/atom. The magnetization comes out at 0.0 μB/cell. Its symmetry is Pm-3m (221). The density of states at the Fermi level comes out at 5.27 states/eV/f.u. As for the energy of formation from the pure elements: 995 meV/atom.

a = 5.766 Å, b = 5.766 Å, c = 5.766 Å
α = 90.00°, β = 90.00°, γ = 90.00°
Element x y z (fractional)
1 Ba 0.000 0.000 0.000
2 La 0.000 0.500 0.000
3 Pt 0.500 0.500 0.500
4 La 0.000 0.000 0.500
5 La 0.500 0.000 0.000

# 4
# Pd3PtC

Pd3PtC after structural relaxation (PBE, Alexandria via LeMat-Bulk).

Summary:
For the polymorph energy (0 for the lowest one), the calculation gives 1993 meV/atom. As for the raw total energy: -0.140 Ha/atom. The magnetization comes out at 2.2 μB/cell. Its symmetry is Pm-3m (221). The density of states at the Fermi level comes out at 9.32 states/eV/f.u. As for the energy of formation from the pure elements: 2355 meV/atom.

a = 4.910 Å, b = 4.910 Å, c = 4.910 Å
α = 90.00°, β = 90.00°, γ = 90.00°
Each line ends with the local moment (μB).
Element x y z (fractional)
1 Pd 0.500 0.000 0.000  0.08
2 C 0.500 0.500 0.500  0.81
3 Pd 0.000 0.000 0.500  0.09
4 Pd 0.000 0.500 0.000  0.12
5 Pt 0.000 0.000 0.000  0.19

# 5
# HgBN2

HgBN2 after structural relaxation (PBE, Alexandria via LeMat-Bulk).

Summary:
For the polymorph energy (0 for the lowest one), the calculation gives 0 meV/atom. As for the raw total energy: -0.202 Ha/atom. The magnetization comes out at 1.8 μB/cell. Its symmetry is I-42d (122). The density of states at the Fermi level comes out at 1.16 states/eV/f.u. For the uncorrected formation energy, the calculation gives 0.4172 eV per atom.

a = 4.647 Å, b = 4.647 Å, c = 5.004 Å
α = 62.33°, β = 62.33°, γ = 90.00°
Each line ends with the local moment (μB).
Element x y z (fractional)
1 B 0.250 0.750 0.500  -0.02
2 B 0.500 0.500 0.000  -0.01
3 Hg 0.750 0.250 0.500  0.08
4 Hg 0.000 0.000 0.000  0.08
5 N 0.255 0.625 0.250  0.29
6 N 0.875 0.745 0.750  0.29
7 N 0.375 0.505 0.750  0.33
8 N 0.495 0.125 0.250  0.33

# 6
# Pr12CoCu6

Pr12CoCu6 after structural relaxation (PBE, Alexandria via LeMat-Bulk).

Summary:
As for the raw total energy: -0.172 Ha/atom. The magnetization comes out at 0.0 μB/cell. Its symmetry is R-3 (148). The density of states at the Fermi level comes out at 19.72 states/eV/f.u. As for the energy of formation from the pure elements: 12 meV/atom.

a = 8.131 Å, b = 8.131 Å, c = 8.131 Å
α = 92.94°, β = 92.94°, γ = 92.94°
Element x y z (fractional)
1 Pr 0.918 0.682 0.042
2 Cu 0.740 0.351 0.147
3 Pr 0.682 0.042 0.918
4 Pr 0.809 0.574 0.453
5 Co 0.000 0.000 0.000
6 Pr 0.547 0.191 0.426
7 Pr 0.958 0.082 0.318
8 Pr 0.318 0.958 0.082
9 Cu 0.147 0.740 0.351
10 Pr 0.453 0.809 0.574
11 Cu 0.649 0.853 0.260
12 Pr 0.042 0.918 0.682
13 Pr 0.082 0.318 0.958
14 Pr 0.191 0.426 0.547
15 Pr 0.426 0.547 0.191
16 Cu 0.260 0.649 0.853
17 Cu 0.853 0.260 0.649
18 Pr 0.574 0.453 0.809
19 Cu 0.351 0.147 0.740

# 7
# Nb2SbHI

Nb2SbHI after structural relaxation (PBE, Alexandria via LeMat-Bulk).

Summary:
As for the raw total energy: -0.178 Ha/atom. The magnetization comes out at 1.2 μB/cell. Its symmetry is P4/mmm (123). The density of states at the Fermi level comes out at 5.17 states/eV/f.u.

a = 5.365 Å, b = 3.588 Å, c = 5.365 Å
α = 90.00°, β = 90.00°, γ = 90.00°
Each line ends with the local moment (μB).
Element x y z (fractional)
1 I 0.500 0.500 0.500  -0.01
2 H 0.000 0.500 0.000  0.01
3 Sb 0.000 0.000 0.000  -0.02
4 Nb 0.500 0.000 0.000  0.48
5 Nb 0.000 0.000 0.500  0.50

# 8
# MnPt2W

MnPt2W after structural relaxation (PBE, Alexandria via LeMat-Bulk).

Summary:
For the polymorph energy (0 for the lowest one), the calculation gives 284 meV/atom. As for the raw total energy: -0.315 Ha/atom. The magnetization comes out at 2.7 μB/cell. Its symmetry is F-43m (216). The density of states at the Fermi level comes out at 5.27 states/eV/f.u. As for the energy of formation from the pure elements: -8 meV/atom.

a = 4.403 Å, b = 4.403 Å, c = 4.403 Å
α = 60.00°, β = 60.00°, γ = 60.00°
Each line ends with the local moment (μB).
Element x y z (fractional)
1 Pt 0.000 0.000 0.000  0.05
2 W 0.250 0.250 0.250  -0.39
3 Pt 0.750 0.750 0.750  0.14
4 Mn 0.500 0.500 0.500  2.84

# 9
# Al2CdHg

Al2CdHg after structural relaxation (PBE, Alexandria via LeMat-Bulk).

Summary:
For the polymorph energy (0 for the lowest one), the calculation gives 144 meV/atom. As for the raw total energy: -0.070 Ha/atom. The magnetization comes out at 0.0 μB/cell. Its symmetry is I-42d (122). The density of states at the Fermi level comes out at 2.03 states/eV/f.u. As for the energy of formation from the pure elements: 258 meV/atom.

a = 7.788 Å, b = 7.788 Å, c = 6.249 Å
α = 51.45°, β = 51.45°, γ = 90.00°
Element x y z (fractional)
1 Al 0.116 0.625 0.250
2 Hg 0.000 0.000 0.000
3 Cd 0.500 0.500 0.000
4 Al 0.375 0.366 0.750
5 Al 0.875 0.884 0.750
6 Cd 0.250 0.750 0.500
7 Al 0.634 0.125 0.250
8 Hg 0.750 0.250 0.500